[1]
The following is a PBE calculation of ZrB2Ru2 after structural relaxation, from Alexandria.

As for the energy of formation: -0.46 eV per atom. The density is 8.47 g/cm³.

The space group is I4/mmm (No. 139) and the conventional cell measures 3.763, 3.763 and 8.723 Å, with angles of 90.00, 90.00 and 90.00 degrees. The distinct sites, in fractional coordinates, are Zr at (0.000, 0.000, 0.000), B at (0.000, 0.000, 0.393) and Ru at (0.000, 0.500, 0.250).


[2]
The following is a PBE calculation of CaSbP after structural relaxation, from Alexandria.

The calculation puts the raw formation energy at -47.3 kJ/mol of atoms. The density is 3.58 g/cm³. The energy above the most stable polymorph in this dataset is 0.21 eV per formula unit.

The space group is I4mm (No. 107) and the conventional cell measures 3.986, 3.986 and 11.256 Å, with angles of 90.00, 90.00 and 90.00 degrees. The distinct sites, in fractional coordinates, are Ca at (0.000, 0.000, 0.000), Sb at (0.000, 0.000, 0.314) and P at (0.000, 0.000, 0.531).


Q: What is the formula in the second record?
A: CaSbP


Repeat the first record exactly.
The following is a PBE calculation of ZrB2Ru2 after structural relaxation, from Alexandria.

As for the energy of formation: -0.46 eV per atom. The density is 8.47 g/cm³.

The space group is I4/mmm (No. 139) and the conventional cell measures 3.763, 3.763 and 8.723 Å, with angles of 90.00, 90.00 and 90.00 degrees. The distinct sites, in fractional coordinates, are Zr at (0.000, 0.000, 0.000), B at (0.000, 0.000, 0.393) and Ru at (0.000, 0.500, 0.250).